# La3Pm4Y5 PBE optimized geometry
# DOS at the Fermi energy	1.466	states/eV/atom
# M_tot	0.00	μB per formula unit
# VASP energy	-5.491	eV/atom
# offset from the most stable computed form	0.000	eV/atom
data_La3Pm4Y5
_chemical_formula_sum 'La3 Pm4 Y5'
_cell_length_a 6.305
_cell_length_b 7.276
_cell_length_c 8.935
_cell_angle_alpha 89.85
_cell_angle_beta 89.85
_cell_angle_gamma 89.90
_symmetry_space_group_name_H-M 'P -1'
_symmetry_Int_Tables_number 2
loop_
_symmetry_equiv_pos_as_xyz
'x,y,z'
'-x,-y,-z'
loop_
_atom_site_label
_atom_site_type_symbol
_atom_site_fract_x
_atom_site_fract_y
_atom_site_fract_z
La1 La 0.000 0.000 0.000
La2 La 0.167 0.252 0.332
Pm1 Pm 0.169 0.750 0.332
Pm2 Pm 0.332 0.499 0.667
Y1 Y 0.000 0.500 0.000
Y2 Y 0.334 0.000 0.668
Y3 Y 0.498 0.749 0.001